The following is a DFT calculation (PBE) of ErRhAu after structural relaxation.

For the calculated formation energy, the calculation gives -0.667 eV per atom. Its spin magnetization is 0.00 μB per atom. For the distance to the lowest polymorph of the same formula, the calculation gives 50 meV/atom. Its total DFT energy (no corrections) is -34.384 eV/cell.

It has space group I4mm (No. 107), with a = 3.532 Å, b = 3.532 Å, c = 9.263 Å, α = 90.00°, β = 90.00° and γ = 90.00°. The distinct sites, in fractional coordinates, are Er at (0.000, 0.000, 0.000), Rh at (0.000, 0.000, 0.345) and Au at (0.000, 0.000, 0.677).